The following is a PBE-GGA calculation of Mn2GaS after structural relaxation, from the Alexandria database.

## Properties
**ΔE to the lowest computed polymorph**: 0.235 eV per atom
**DFT total energy**: -6.387 eV/atom
**Uncorrected formation energy**: -0.014 eV per atom

Structure (POSCAR):
```
Mn2GaS
1.0
-1.047 2.247 1.246
-1.514 0.548 -2.260
-4.690 -3.463 2.302
S Mn Ga
1 2 1
direct
0.500 0.500 0.500 S
0.000 0.000 0.709 Mn
0.000 0.000 0.291 Mn
0.500 0.500 0.000 Ga
```


The following is a PBE-GGA calculation of MnGa2S after structural relaxation, from the Alexandria database.

## Properties
**ΔE to the lowest computed polymorph**: 0.120 eV per atom
**DFT total energy**: -4.914 eV/atom
**Uncorrected formation energy**: -0.076 eV per atom

Structure (POSCAR):
```
MnGa2S
1.0
4.301 0.000 -0.030
0.000 4.082 0.000
-0.996 0.000 8.336
S Mn Ga
2 2 4
direct
0.183 0.000 0.758 S
0.183 0.500 0.258 S
0.703 0.000 0.845 Mn
0.703 0.500 0.345 Mn
0.616 0.000 0.149 Ga
0.616 0.500 0.649 Ga
0.876 0.000 0.501 Ga
0.876 0.500 0.001 Ga
```


The following is a PBE-GGA calculation of Mn5GaS8 after structural relaxation, from the Alexandria database.

## Properties
**DFT total energy**: -6.396 eV/atom
**Uncorrected formation energy**: -0.547 eV per atom

Structure (POSCAR):
```
Mn5GaS8
1.0
6.258 0.000 3.613
2.086 5.900 3.613
0.000 0.000 7.226
Mn Ga S
5 1 8
direct
0.000 0.000 0.000 Mn
0.626 0.626 0.123 Mn
0.626 0.626 0.626 Mn
0.123 0.626 0.626 Mn
0.626 0.123 0.626 Mn
0.250 0.250 0.250 Ga
0.383 0.852 0.383 S
0.852 0.383 0.383 S
0.383 0.383 0.383 S
0.383 0.383 0.852 S
0.867 0.867 0.399 S
0.399 0.867 0.867 S
0.867 0.867 0.867 S
0.867 0.399 0.867 S
```


The following is a PBE-GGA calculation of MnGa2S after structural relaxation, from the Alexandria database.

## Properties
**ΔE to the lowest computed polymorph**: 0.080 eV per atom
**DFT total energy**: -4.954 eV/atom
**Uncorrected formation energy**: -0.116 eV per atom

Structure (POSCAR):
```
MnGa2S
1.0
-0.941 -0.068 -4.162
-2.353 -1.147 0.551
-4.922 10.552 0.940
S Mn Ga
2 2 4
direct
0.000 0.500 0.189 S
0.500 0.000 0.689 S
0.000 0.500 0.993 Mn
0.500 0.000 0.493 Mn
0.000 0.500 0.485 Ga
0.500 0.000 0.985 Ga
0.000 0.000 0.808 Ga
0.500 0.500 0.308 Ga
```


The following is a PBE-GGA calculation of Mn2GaS4 after structural relaxation, from the Alexandria database.

## Properties
**ΔE to the lowest computed polymorph**: 0.000 eV per atom
**DFT total energy**: -5.990 eV/atom
**Uncorrected formation energy**: -0.579 eV per atom

Structure (POSCAR):
```
Mn2GaS4
1.0
-6.203 -0.755 3.623
-2.508 -4.306 -5.229
6.269 -1.530 3.231
Mn Ga S
4 2 8
direct
0.625 0.375 0.750 Mn
0.625 0.875 0.250 Mn
0.625 0.375 0.250 Mn
0.125 0.375 0.750 Mn
0.250 0.750 0.500 Ga
0.000 0.000 0.000 Ga
0.868 0.133 0.265 S
0.382 0.618 0.235 S
0.868 0.604 0.735 S
0.868 0.132 0.735 S
0.396 0.132 0.265 S
0.382 0.146 0.765 S
0.382 0.618 0.765 S
0.854 0.618 0.235 S
```


The following is a PBE-GGA calculation of Mn3GaS after structural relaxation, from the Alexandria database.

## Properties
**DFT total energy**: -6.734 eV/atom
**Uncorrected formation energy**: 0.199 eV per atom

Structure (POSCAR):
```
Mn3GaS
1.0
-2.533 1.375 2.942
-2.338 -3.362 -0.442
2.254 -1.942 2.848
S Mn Ga
1 3 1
direct
0.000 0.000 0.000 S
0.000 0.500 0.000 Mn
0.000 0.000 0.500 Mn
0.500 0.000 0.000 Mn
0.500 0.500 0.500 Ga
```


The following is a PBE-GGA calculation of MnGa2S after structural relaxation, from the Alexandria database.

## Properties
**ΔE to the lowest computed polymorph**: 0.065 eV per atom
**DFT total energy**: -4.969 eV/atom
**Uncorrected formation energy**: -0.131 eV per atom

Structure (POSCAR):
```
MnGa2S
1.0
-2.311 1.256 -1.018
-2.274 -9.763 -6.883
-0.921 -2.177 3.392
S Mn Ga
2 2 4
direct
0.032 0.000 0.237 S
0.032 0.500 0.737 S
0.752 0.000 0.661 Mn
0.752 0.500 0.161 Mn
0.306 0.681 0.228 Ga
0.306 0.319 0.228 Ga
0.306 0.181 0.728 Ga
0.306 0.819 0.728 Ga
```


The following is a PBE-GGA calculation of Mn2GaS after structural relaxation, from the Alexandria database.

## Properties
**ΔE to the lowest computed polymorph**: 0.230 eV per atom
**DFT total energy**: -6.393 eV/atom
**Uncorrected formation energy**: -0.019 eV per atom

Structure (POSCAR):
```
Mn2GaS
1.0
-2.390 -1.127 1.183
2.534 -0.202 1.385
-1.352 6.451 3.414
S Mn Ga
1 2 1
direct
0.000 0.000 0.500 S
0.333 0.667 0.276 Mn
0.667 0.333 0.724 Mn
0.000 0.000 0.000 Ga
```